## a
# CuGePt6 | the Alexandria database | PBE | relaxed
# Space-group type: No. 2
# N(E_F) (states/eV per atom): 0.949
# Crystal system: triclinic
data_CuGePt6
_chemical_formula_sum 'Cu1 Ge1 Pt6'
_cell_length_a 6.0838
_cell_length_b 6.9509
_cell_length_c 5.5619
_cell_angle_alpha 42.50
_cell_angle_beta 54.48
_cell_angle_gamma 66.25
_space_group_name_H-M_alt 'P 1'
_space_group_IT_number 1
loop_
_space_group_symop_operation_xyz
'x,y,z'
loop_
_atom_site_label
_atom_site_type_symbol
_atom_site_fract_x
_atom_site_fract_y
_atom_site_fract_z
Ge1 Ge 0.5000 0.5000 0.5000
Pt1 Pt 0.9911 0.5060 0.7513
Pt2 Pt 0.5431 0.7417 0.6356
Pt3 Pt 0.0089 0.4940 0.2487
Pt4 Pt 0.7413 0.9469 0.7819
Pt5 Pt 0.4569 0.2583 0.3644
Pt6 Pt 0.2587 0.0531 0.2181
Cu1 Cu 0.0000 0.0000 0.0000


## b
# CuGePt6 | the Alexandria database | PBE | relaxed
# Space-group type: No. 69
# N(E_F) (states/eV per atom): 1.166
# Crystal system: orthorhombic
data_CuGePt6
_chemical_formula_sum 'Cu1 Ge1 Pt6'
_cell_length_a 4.6148
_cell_length_b 4.6147
_cell_length_c 6.5810
_cell_angle_alpha 104.70
_cell_angle_beta 104.69
_cell_angle_gamma 106.05
_space_group_name_H-M_alt 'P 1'
_space_group_IT_number 1
loop_
_space_group_symop_operation_xyz
'x,y,z'
loop_
_atom_site_label
_atom_site_type_symbol
_atom_site_fract_x
_atom_site_fract_y
_atom_site_fract_z
Pt1 Pt 0.8821 0.3822 0.7642
Pt2 Pt 0.1179 0.6178 0.2358
Pt3 Pt 0.6179 0.1179 0.2357
Pt4 Pt 0.2544 0.2544 0.5088
Pt5 Pt 0.7456 0.7456 0.4912
Pt6 Pt 0.3821 0.8821 0.7643
Cu1 Cu 0.5000 0.5000 0.0000
Ge1 Ge 0.0000 0.0000 0.0000


Stability summary - winner: b; margin: 9.6 kJ/mol of atoms.


## a
# SrCuGe2Pt | the Alexandria database | PBE | relaxed
# Space-group type: No. 119
# N(E_F) (states/eV per atom): 0.418
# Crystal system: tetragonal
data_SrCuGe2Pt
_chemical_formula_sum 'Sr1 Cu1 Ge2 Pt1'
_cell_length_a 4.3685
_cell_length_b 4.3685
_cell_length_c 6.0523
_cell_angle_alpha 111.16
_cell_angle_beta 111.16
_cell_angle_gamma 90.00
_space_group_name_H-M_alt 'P 1'
_space_group_IT_number 1
loop_
_space_group_symop_operation_xyz
'x,y,z'
loop_
_atom_site_label
_atom_site_type_symbol
_atom_site_fract_x
_atom_site_fract_y
_atom_site_fract_z
Pt1 Pt 0.2500 0.7500 0.5000
Sr1 Sr 0.0000 0.0000 0.0000
Cu1 Cu 0.7500 0.2500 0.5000
Ge1 Ge 0.6286 0.6286 0.2573
Ge2 Ge 0.3714 0.3714 0.7427


## b
# SrCuGe2Pt | the Alexandria database | PBE | relaxed
# Space-group type: No. 123
# N(E_F) (states/eV per atom): 0.389
# Crystal system: tetragonal
data_SrCuGe2Pt
_chemical_formula_sum 'Sr1 Cu1 Ge2 Pt1'
_cell_length_a 4.6732
_cell_length_b 4.9909
_cell_length_c 4.6732
_cell_angle_alpha 90.00
_cell_angle_beta 90.00
_cell_angle_gamma 90.00
_space_group_name_H-M_alt 'P 1'
_space_group_IT_number 1
loop_
_space_group_symop_operation_xyz
'x,y,z'
loop_
_atom_site_label
_atom_site_type_symbol
_atom_site_fract_x
_atom_site_fract_y
_atom_site_fract_z
Ge1 Ge 0.0000 0.0000 0.5000
Ge2 Ge 0.5000 0.0000 0.0000
Sr1 Sr 0.5000 0.5000 0.5000
Cu1 Cu 0.0000 0.0000 0.0000
Pt1 Pt 0.0000 0.5000 0.0000


Stability summary - winner: a; margin: 47.5 kJ/mol of atoms.


## a
# Pu2CuGe3 | the Alexandria database | PBE | relaxed
# Space-group type: No. 25
# N(E_F) (states/eV per atom): 4.007
# Crystal system: orthorhombic
data_Pu2CuGe3
_chemical_formula_sum 'Pu2 Cu1 Ge3'
_cell_length_a 4.0433
_cell_length_b 4.2215
_cell_length_c 7.2682
_cell_angle_alpha 90.00
_cell_angle_beta 90.00
_cell_angle_gamma 90.00
_space_group_name_H-M_alt 'P 1'
_space_group_IT_number 1
loop_
_space_group_symop_operation_xyz
'x,y,z'
loop_
_atom_site_label
_atom_site_type_symbol
_atom_site_fract_x
_atom_site_fract_y
_atom_site_fract_z
Ge1 Ge 0.5000 0.5000 0.6520
Ge2 Ge 0.5000 0.0000 0.8388
Ge3 Ge 0.5000 0.0000 0.1829
Pu1 Pu 0.0000 0.5000 0.9945
Pu2 Pu 0.0000 0.0000 0.5058
Cu1 Cu 0.5000 0.5000 0.3259


## b
# Pu2CuGe3 | the Alexandria database | PBE | relaxed
# Space-group type: No. 69
# N(E_F) (states/eV per atom): 3.575
# Crystal system: orthorhombic
data_Pu2CuGe3
_chemical_formula_sum 'Pu4 Cu2 Ge6'
_cell_length_a 5.8338
_cell_length_b 5.8338
_cell_length_c 8.3244
_cell_angle_alpha 109.67
_cell_angle_beta 109.67
_cell_angle_gamma 92.27
_space_group_name_H-M_alt 'P 1'
_space_group_IT_number 1
loop_
_space_group_symop_operation_xyz
'x,y,z'
loop_
_atom_site_label
_atom_site_type_symbol
_atom_site_fract_x
_atom_site_fract_y
_atom_site_fract_z
Ge1 Ge 0.1729 0.6564 0.8293
Ge2 Ge 0.3436 0.8271 0.1707
Ge3 Ge 0.6564 0.1729 0.8293
Ge4 Ge 0.8271 0.3436 0.1707
Ge5 Ge 0.8287 0.8287 0.6573
Ge6 Ge 0.1713 0.1713 0.3427
Pu1 Pu 0.2420 0.2420 0.0000
Pu2 Pu 0.2500 0.7500 0.5000
Pu3 Pu 0.7580 0.7580 0.0000
Pu4 Pu 0.7500 0.2500 0.5000
Cu1 Cu 0.3339 0.3339 0.6677
Cu2 Cu 0.6661 0.6661 0.3323


Stability summary - winner: b; margin: 2.3 kJ/mol of atoms.


## a
# RbCuGe2 | the Alexandria database | PBE | relaxed
# Space-group type: No. 123
# N(E_F) (states/eV per atom): 0.273
# Crystal system: tetragonal
data_RbCuGe2
_chemical_formula_sum 'Rb1 Cu1 Ge2'
_cell_length_a 3.4292
_cell_length_b 3.4292
_cell_length_c 7.8028
_cell_angle_alpha 90.00
_cell_angle_beta 90.00
_cell_angle_gamma 90.00
_space_group_name_H-M_alt 'P 1'
_space_group_IT_number 1
loop_
_space_group_symop_operation_xyz
'x,y,z'
loop_
_atom_site_label
_atom_site_type_symbol
_atom_site_fract_x
_atom_site_fract_y
_atom_site_fract_z
Rb1 Rb 0.5000 0.5000 0.5000
Ge1 Ge 0.0000 0.0000 0.8403
Ge2 Ge 0.0000 0.0000 0.1597
Cu1 Cu 0.5000 0.5000 0.0000


## b
# RbCuGe2 | the Alexandria database | PBE | relaxed
# Space-group type: No. 225
# N(E_F) (states/eV per atom): 0.167
# Crystal system: cubic
data_RbCuGe2
_chemical_formula_sum 'Rb1 Cu1 Ge2'
_cell_length_a 5.0216
_cell_length_b 5.0216
_cell_length_c 5.0216
_cell_angle_alpha 60.00
_cell_angle_beta 60.00
_cell_angle_gamma 60.00
_space_group_name_H-M_alt 'P 1'
_space_group_IT_number 1
loop_
_space_group_symop_operation_xyz
'x,y,z'
loop_
_atom_site_label
_atom_site_type_symbol
_atom_site_fract_x
_atom_site_fract_y
_atom_site_fract_z
Rb1 Rb 0.5000 0.5000 0.5000
Cu1 Cu 0.0000 0.0000 0.0000
Ge1 Ge 0.2500 0.2500 0.2500
Ge2 Ge 0.7500 0.7500 0.7500


## c
# RbCuGe2 | the Alexandria database | PBE | relaxed
# Space-group type: No. 166
# N(E_F) (states/eV per atom): 0.392
# Crystal system: trigonal
data_RbCuGe2
_chemical_formula_sum 'Rb1 Cu1 Ge2'
_cell_length_a 4.1339
_cell_length_b 4.1339
_cell_length_c 7.2943
_cell_angle_alpha 73.54
_cell_angle_beta 73.54
_cell_angle_gamma 60.00
_space_group_name_H-M_alt 'P 1'
_space_group_IT_number 1
loop_
_space_group_symop_operation_xyz
'x,y,z'
loop_
_atom_site_label
_atom_site_type_symbol
_atom_site_fract_x
_atom_site_fract_y
_atom_site_fract_z
Ge1 Ge 0.2054 0.2054 0.3838
Ge2 Ge 0.7946 0.7946 0.6162
Cu1 Cu 0.5000 0.5000 0.5000
Rb1 Rb 0.0000 0.0000 0.0000


## d
# RbCuGe2 | the Alexandria database | PBE | relaxed
# Space-group type: No. 141
# N(E_F) (states/eV per atom): 0.389
# Crystal system: tetragonal
data_RbCuGe2
_chemical_formula_sum 'Rb2 Cu2 Ge4'
_cell_length_a 5.2453
_cell_length_b 5.2453
_cell_length_c 9.0981
_cell_angle_alpha 73.25
_cell_angle_beta 73.25
_cell_angle_gamma 90.00
_space_group_name_H-M_alt 'P 1'
_space_group_IT_number 1
loop_
_space_group_symop_operation_xyz
'x,y,z'
loop_
_atom_site_label
_atom_site_type_symbol
_atom_site_fract_x
_atom_site_fract_y
_atom_site_fract_z
Rb1 Rb 0.0000 0.0000 0.0000
Rb2 Rb 0.7500 0.2500 0.5000
Ge1 Ge 0.8750 0.6251 0.7500
Ge2 Ge 0.3750 0.6249 0.7500
Ge3 Ge 0.3749 0.6250 0.2500
Ge4 Ge 0.3751 0.1250 0.2500
Cu1 Cu 0.2500 0.7500 0.5000
Cu2 Cu 0.5000 0.5000 0.0000


Stability summary - winner: c; margin: 17.3 kJ/mol of atoms.


## a
# RbCuGe | the Alexandria database | PBE | relaxed
# Space-group type: No. 1
# N(E_F) (states/eV per atom): 0.353
# Crystal system: triclinic
data_RbCuGe
_chemical_formula_sum 'Rb2 Cu2 Ge2'
_cell_length_a 7.4363
_cell_length_b 7.7113
_cell_length_c 4.6510
_cell_angle_alpha 59.36
_cell_angle_beta 116.91
_cell_angle_gamma 90.94
_space_group_name_H-M_alt 'P 1'
_space_group_IT_number 1
loop_
_space_group_symop_operation_xyz
'x,y,z'
loop_
_atom_site_label
_atom_site_type_symbol
_atom_site_fract_x
_atom_site_fract_y
_atom_site_fract_z
Cu1 Cu 0.0026 0.5501 0.5379
Cu2 Cu 0.2708 0.2746 0.2188
Rb1 Rb 0.8195 0.1032 0.0316
Rb2 Rb 0.4526 0.7228 0.7279
Ge1 Ge 0.0088 0.5810 0.0213
Ge2 Ge 0.2638 0.2441 0.7346


## b
# RbCuGe | the Alexandria database | PBE | relaxed
# Space-group type: No. 129
# N(E_F) (states/eV per atom): 0.616
# Crystal system: tetragonal
data_RbCuGe
_chemical_formula_sum 'Rb2 Cu2 Ge2'
_cell_length_a 4.4142
_cell_length_b 4.4142
_cell_length_c 10.2766
_cell_angle_alpha 90.00
_cell_angle_beta 90.00
_cell_angle_gamma 90.00
_space_group_name_H-M_alt 'P 1'
_space_group_IT_number 1
loop_
_space_group_symop_operation_xyz
'x,y,z'
loop_
_atom_site_label
_atom_site_type_symbol
_atom_site_fract_x
_atom_site_fract_y
_atom_site_fract_z
Rb1 Rb 0.5000 0.0000 0.2104
Rb2 Rb 0.0000 0.5000 0.7896
Ge1 Ge 0.0000 0.5000 0.3991
Ge2 Ge 0.5000 0.0000 0.6009
Cu1 Cu 0.0000 0.0000 0.5000
Cu2 Cu 0.5000 0.5000 0.5000


Stability summary - winner: b; margin: 1.6 kJ/mol of atoms.


## a
# Cu2Ge2Rh | the Alexandria database | PBE | relaxed
# Space-group type: No. 139
# N(E_F) (states/eV per atom): 0.515
# Crystal system: tetragonal
data_Cu2Ge2Rh
_chemical_formula_sum 'Cu2 Ge2 Rh1'
_cell_length_a 3.3103
_cell_length_b 3.3103
_cell_length_c 7.2205
_cell_angle_alpha 76.75
_cell_angle_beta 76.75
_cell_angle_gamma 90.00
_space_group_name_H-M_alt 'P 1'
_space_group_IT_number 1
loop_
_space_group_symop_operation_xyz
'x,y,z'
loop_
_atom_site_label
_atom_site_type_symbol
_atom_site_fract_x
_atom_site_fract_y
_atom_site_fract_z
Ge1 Ge 0.6010 0.6010 0.7981
Ge2 Ge 0.3990 0.3990 0.2019
Rh1 Rh 0.0000 0.0000 0.0000
Cu1 Cu 0.7500 0.2500 0.5000
Cu2 Cu 0.2500 0.7500 0.5000


## b
# Cu2Ge2Rh | the Alexandria database | PBE | relaxed
# Space-group type: No. 127
# N(E_F) (states/eV per atom): 0.428
# Crystal system: tetragonal
data_Cu2Ge2Rh
_chemical_formula_sum 'Cu4 Ge4 Rh2'
_cell_length_a 6.8123
_cell_length_b 6.8123
_cell_length_c 3.1092
_cell_angle_alpha 90.00
_cell_angle_beta 90.00
_cell_angle_gamma 90.00
_space_group_name_H-M_alt 'P 1'
_space_group_IT_number 1
loop_
_space_group_symop_operation_xyz
'x,y,z'
loop_
_atom_site_label
_atom_site_type_symbol
_atom_site_fract_x
_atom_site_fract_y
_atom_site_fract_z
Rh1 Rh 0.5000 0.5000 0.0000
Rh2 Rh 0.0000 0.0000 0.0000
Ge1 Ge 0.8218 0.3218 0.5000
Ge2 Ge 0.1782 0.6782 0.5000
Ge3 Ge 0.3218 0.1782 0.5000
Ge4 Ge 0.6782 0.8218 0.5000
Cu1 Cu 0.1252 0.3748 0.0000
Cu2 Cu 0.8748 0.6252 0.0000
Cu3 Cu 0.3748 0.8748 0.0000
Cu4 Cu 0.6252 0.1252 0.0000


Stability summary - winner: a; margin: 1.4 kJ/mol of atoms.


## a
# Cu2GeRh2 | the Alexandria database | PBE | relaxed
# Space-group type: No. 127
# N(E_F) (states/eV per atom): 0.810
# Crystal system: tetragonal
data_Cu2GeRh2
_chemical_formula_sum 'Cu4 Ge2 Rh4'
_cell_length_a 6.2084
_cell_length_b 6.2084
_cell_length_c 3.8821
_cell_angle_alpha 90.00
_cell_angle_beta 90.00
_cell_angle_gamma 90.00
_space_group_name_H-M_alt 'P 1'
_space_group_IT_number 1
loop_
_space_group_symop_operation_xyz
'x,y,z'
loop_
_atom_site_label
_atom_site_type_symbol
_atom_site_fract_x
_atom_site_fract_y
_atom_site_fract_z
Cu1 Cu 0.8493 0.3493 0.5000
Cu2 Cu 0.6507 0.8493 0.5000
Cu3 Cu 0.1507 0.6507 0.5000
Cu4 Cu 0.3493 0.1507 0.5000
Rh1 Rh 0.8518 0.6482 0.0000
Rh2 Rh 0.1482 0.3518 0.0000
Rh3 Rh 0.3518 0.8518 0.0000
Rh4 Rh 0.6482 0.1482 0.0000
Ge1 Ge 0.0000 0.0000 0.0000
Ge2 Ge 0.5000 0.5000 0.0000


## b
# Cu2GeRh2 | the Alexandria database | PBE | relaxed
# Space-group type: No. 127
# N(E_F) (states/eV per atom): 1.508
# Crystal system: tetragonal
data_Cu2GeRh2
_chemical_formula_sum 'Cu4 Ge2 Rh4'
_cell_length_a 6.1641
_cell_length_b 6.1641
_cell_length_c 3.6835
_cell_angle_alpha 90.00
_cell_angle_beta 90.00
_cell_angle_gamma 90.00
_space_group_name_H-M_alt 'P 1'
_space_group_IT_number 1
loop_
_space_group_symop_operation_xyz
'x,y,z'
loop_
_atom_site_label
_atom_site_type_symbol
_atom_site_fract_x
_atom_site_fract_y
_atom_site_fract_z
Rh1 Rh 0.3335 0.1665 0.5000
Rh2 Rh 0.6665 0.8335 0.5000
Rh3 Rh 0.1665 0.6665 0.5000
Rh4 Rh 0.8335 0.3335 0.5000
Cu1 Cu 0.3661 0.8661 0.0000
Cu2 Cu 0.6339 0.1339 0.0000
Cu3 Cu 0.8661 0.6339 0.0000
Cu4 Cu 0.1339 0.3661 0.0000
Ge1 Ge 0.5000 0.5000 0.0000
Ge2 Ge 0.0000 0.0000 0.0000


Stability summary - winner: a; margin: 19.2 kJ/mol of atoms.


## a
# CuGeRh3 | the Alexandria database | PBE | relaxed
# Space-group type: No. 221
# N(E_F) (states/eV per atom): 1.814
# Crystal system: cubic
data_CuGeRh3
_chemical_formula_sum 'Cu1 Ge1 Rh3'
_cell_length_a 4.5272
_cell_length_b 4.5272
_cell_length_c 4.5272
_cell_angle_alpha 90.00
_cell_angle_beta 90.00
_cell_angle_gamma 90.00
_space_group_name_H-M_alt 'P 1'
_space_group_IT_number 1
loop_
_space_group_symop_operation_xyz
'x,y,z'
loop_
_atom_site_label
_atom_site_type_symbol
_atom_site_fract_x
_atom_site_fract_y
_atom_site_fract_z
Cu1 Cu 0.5000 0.5000 0.5000
Rh1 Rh 0.0000 0.5000 0.0000
Rh2 Rh 0.0000 0.0000 0.5000
Rh3 Rh 0.5000 0.0000 0.0000
Ge1 Ge 0.0000 0.0000 0.0000


## b
# CuGeRh3 | the Alexandria database | PBE | relaxed
# Space-group type: No. 221
# N(E_F) (states/eV per atom): 1.453
# Crystal system: cubic
data_CuGeRh3
_chemical_formula_sum 'Cu1 Ge1 Rh3'
_cell_length_a 4.4757
_cell_length_b 4.4757
_cell_length_c 4.4757
_cell_angle_alpha 90.00
_cell_angle_beta 90.00
_cell_angle_gamma 90.00
_space_group_name_H-M_alt 'P 1'
_space_group_IT_number 1
loop_
_space_group_symop_operation_xyz
'x,y,z'
loop_
_atom_site_label
_atom_site_type_symbol
_atom_site_fract_x
_atom_site_fract_y
_atom_site_fract_z
Rh1 Rh 0.0000 0.0000 0.5000
Rh2 Rh 0.0000 0.5000 0.0000
Rh3 Rh 0.5000 0.0000 0.0000
Ge1 Ge 0.5000 0.5000 0.5000
Cu1 Cu 0.0000 0.0000 0.0000


Stability summary - winner: a; margin: 27.9 kJ/mol of atoms.